VASP calculation (PBE-GGA) on a relaxed structure of GaFeOs2.

Summary:
As for the total DFT energy (no corrections): -8.1731 eV/atom. The spin magnetization is 0.624 μB/atom.

abc: 4.250 4.250 4.250
angles: 60.00 60.00 60.00
Sites, in units of the cell vectors:
Ga 0.000 0.000 0.000
Fe 0.250 0.250 0.250
Os 0.500 0.500 0.500
Os 0.750 0.750 0.750


VASP calculation (PBE-GGA) on a relaxed structure of ZrBAu2.

Summary:
As for the total DFT energy (no corrections): -5.2363 eV/atom. The spin magnetization is 0.000 μB/atom.

abc: 4.529 4.529 4.529
angles: 60.00 60.00 60.00
Sites, in units of the cell vectors:
Zr 0.000 0.000 0.000
B 0.750 0.750 0.750
Au 0.250 0.250 0.250
Au 0.500 0.500 0.500


VASP calculation (PBE-GGA) on a relaxed structure of BaAsOsO.

Summary:
The spin magnetization is 0.001 μB/atom. For the energy above the most stable polymorph in this dataset, the calculation gives 174 meV/atom.

abc: 3.870 5.194 8.114
angles: 90.00 90.00 90.00
Sites, in units of the cell vectors:
Ba 0.000 0.190 0.000
Ba 0.000 0.810 0.500
As 0.500 0.299 0.658
As 0.500 0.701 0.158
Os 0.500 0.324 0.347
Os 0.500 0.676 0.847
O 0.000 0.293 0.341
O 0.000 0.707 0.841


VASP calculation (PBE-GGA) on a relaxed structure of BaGdMo.

Summary:
The spin magnetization is 0.410 μB/atom. For the energy above the most stable polymorph in this dataset, the calculation gives 0 meV/atom.

abc: 5.166 5.166 5.166
angles: 60.00 60.00 60.00
Sites, in units of the cell vectors:
Ba 0.000 0.000 0.000
Gd 0.500 0.500 0.500
Mo 0.250 0.250 0.250


VASP calculation (PBE-GGA) on a relaxed structure of CsCuSnTe3.

Summary:
For the energy above the most stable polymorph in this dataset, the calculation gives 45 meV/atom.

abc: 8.851 8.851 11.793
angles: 90.00 90.00 152.99
Sites, in units of the cell vectors:
Cs 0.239 0.761 0.750
Cs 0.761 0.239 0.250
Cu 0.049 0.951 0.250
Cu 0.951 0.049 0.750
Sn 0.500 0.500 0.000
Sn 0.500 0.500 0.500
Te 0.121 0.879 0.053
Te 0.121 0.879 0.447
Te 0.452 0.548 0.250
Te 0.548 0.452 0.750
Te 0.879 0.121 0.553
Te 0.879 0.121 0.947


VASP calculation (PBE-GGA) on a relaxed structure of KHfPd.

Summary:
As for the total DFT energy (no corrections): -4.7036 eV/atom. The spin magnetization is 0.021 μB/atom.

abc: 4.817 4.817 4.817
angles: 60.00 60.00 60.00
Sites, in units of the cell vectors:
K 0.000 0.000 0.000
Hf 0.500 0.500 0.500
Pd 0.750 0.750 0.750


VASP calculation (PBE-GGA) on a relaxed structure of ReNiMoAs.

Summary:
As for the total DFT energy (no corrections): -8.0072 eV/atom. The spin magnetization is 0.015 μB/atom.

abc: 4.330 4.330 4.330
angles: 60.00 60.00 60.00
Sites, in units of the cell vectors:
Re 0.000 0.000 0.000
Ni 0.750 0.750 0.750
Mo 0.250 0.250 0.250
As 0.500 0.500 0.500


VASP calculation (PBE-GGA) on a relaxed structure of ZrTcMo.

Summary:
The spin magnetization is 0.001 μB/atom. The value obtained for the formation energy is 361 meV/atom. For the energy above the most stable polymorph in this dataset, the calculation gives 0 meV/atom.

abc: 4.391 4.391 4.391
angles: 60.00 60.00 60.00
Sites, in units of the cell vectors:
Zr 0.000 0.000 0.000
Tc 0.750 0.750 0.750
Mo 0.500 0.500 0.500